Model i:
# Ho6ZnCo

Crystalline Ho6ZnCo at its relaxed geometry (PBE-GGA, Alexandria).

```
Ho6ZnCo
1.0
4.7095 0.0001 1.4183
-0.4274 4.6903 1.4188
-0.2041 -0.2247 9.2089
Ho Co Zn
6 1 1
Direct
0.9028 0.4028 0.1943 Ho
0.7491 0.7490 0.5020 Ho
0.5971 0.0972 0.8057 Ho
0.2509 0.2510 0.4980 Ho
0.0972 0.5972 0.8057 Ho
0.4029 0.9028 0.1943 Ho
0.0000 0.0000 0.0000 Co
0.5000 0.5000 0.0000 Zn
```

M_tot: 0.01 μB/f.u.

Model ii:
# Ho6ZnCo

Crystalline Ho6ZnCo at its relaxed geometry (PBE-GGA, Alexandria).

```
Ho6ZnCo
1.0
6.6395 0.0080 0.0035
3.3120 5.7618 0.0095
3.3049 1.9143 6.1211
Ho Zn Co
6 1 1
Direct
0.7760 0.0537 0.7554 Ho
0.4138 0.7766 0.7554 Ho
0.5862 0.2234 0.2446 Ho
0.0541 0.4140 0.7555 Ho
0.9459 0.5860 0.2445 Ho
0.2240 0.9463 0.2446 Ho
0.5000 0.5000 0.5000 Zn
0.0000 0.0000 0.0000 Co
```

M_tot: 0.00 μB/f.u.

Computed relative energies in units of eV/atom: model i 0.000; model ii 0.101

Model i:
# HoZrCo

Crystalline HoZrCo at its relaxed geometry (PBE-GGA, Alexandria).

```
HoZrCo
1.0
3.2922 0.0000 0.0000
0.0000 3.2922 0.0000
-1.6461 -1.6461 5.7259
Ho Co Zr
1 1 1
Direct
0.0187 0.0187 0.0374 Ho
0.6809 0.6809 0.3619 Co
0.3004 0.3004 0.6007 Zr
```

M_tot: 1.65 μB/f.u.

Model ii:
# HoZrCo

Crystalline HoZrCo at its relaxed geometry (PBE-GGA, Alexandria).

```
HoZrCo
1.0
5.8118 0.0000 0.0000
0.0000 6.1348 -2.0368
0.0000 1.3131 7.0946
Co Zr Ho
4 4 4
Direct
0.3563 0.4799 0.6421 Co
0.1437 0.9799 0.1421 Co
0.8563 0.0201 0.8579 Co
0.6437 0.5201 0.3579 Co
0.6267 0.8003 0.6284 Zr
0.1267 0.6997 0.8716 Zr
0.8733 0.3003 0.1284 Zr
0.3733 0.1997 0.3716 Zr
0.6342 0.7973 0.1097 Ho
0.8658 0.2973 0.6097 Ho
0.3658 0.2027 0.8903 Ho
0.1342 0.7027 0.3903 Ho
```

M_tot: 0.00 μB/f.u.

Model iii:
# HoZrCo

Crystalline HoZrCo at its relaxed geometry (PBE-GGA, Alexandria).

```
HoZrCo
1.0
-1.8685 -2.2957 3.1166
-1.0363 -3.9237 -3.5114
5.2249 -1.3339 2.1499
Zr Co Ho
2 2 2
Direct
0.7523 0.9657 0.8148 Zr
0.2522 0.0420 0.1884 Zr
0.7522 0.1267 0.4287 Co
0.2523 0.8810 0.5746 Co
0.7523 0.5777 0.2787 Ho
0.2522 0.4300 0.7245 Ho
```

M_tot: 0.00 μB/f.u.

Computed relative energies in units of eV/atom: model i 0.081; model ii 0.092; model iii 0.000

Model i:
# HoZr2Co

Crystalline HoZr2Co at its relaxed geometry (PBE-GGA, Alexandria).

```
HoZr2Co
1.0
-1.9138 0.9662 2.4544
-2.5662 -1.3833 -1.4565
1.4913 -6.8153 3.8455
Zr Co Ho
2 1 1
Direct
0.0000 0.0000 0.8043 Zr
0.0000 0.0000 0.1957 Zr
0.5000 0.5000 0.0000 Co
0.5000 0.5000 0.5000 Ho
```

M_tot: 1.45 μB/f.u.

Model ii:
# HoZr2Co

Crystalline HoZr2Co at its relaxed geometry (PBE-GGA, Alexandria).

```
HoZr2Co
1.0
4.8575 0.0000 0.0000
2.4288 4.2067 0.0000
2.4288 1.4022 3.9605
Co Zr Ho
1 2 1
Direct
0.0000 0.0000 0.0000 Co
0.2498 0.2498 0.2505 Zr
0.7502 0.7502 0.7495 Zr
0.5000 0.5000 0.5000 Ho
```

M_tot: 1.06 μB/f.u.

Model iii:
# HoZr2Co

Crystalline HoZr2Co at its relaxed geometry (PBE-GGA, Alexandria).

```
HoZr2Co
1.0
-3.8480 -0.2101 -1.3229
-2.6919 -2.3712 1.9320
-3.7621 4.0497 4.0251
Zr Co Ho
2 1 1
Direct
0.0524 0.0524 0.8428 Zr
0.2799 0.2799 0.1604 Zr
0.6711 0.6711 0.9867 Co
0.4966 0.4966 0.5101 Ho
```

M_tot: 0.00 μB/f.u.

Model iv:
# HoZr2Co

Crystalline HoZr2Co at its relaxed geometry (PBE-GGA, Alexandria).

```
HoZr2Co
1.0
5.8992 0.0000 0.0000
0.0000 6.3757 0.0000
0.0000 0.0000 9.2305
Co Ho Zr
4 4 8
Direct
0.1006 0.3922 0.2500 Co
0.6006 0.1078 0.7500 Co
0.8994 0.6078 0.7500 Co
0.3994 0.8922 0.2500 Co
0.3575 0.4715 0.7500 Ho
0.6425 0.5285 0.2500 Ho
0.8575 0.0285 0.2500 Ho
0.1425 0.9715 0.7500 Ho
0.8267 0.3236 0.9366 Zr
0.1733 0.6764 0.0634 Zr
0.6733 0.8236 0.5634 Zr
0.6733 0.8236 0.9366 Zr
0.8267 0.3236 0.5634 Zr
0.1733 0.6764 0.4366 Zr
0.3267 0.1764 0.0634 Zr
0.3267 0.1764 0.4366 Zr
```

M_tot: 0.00 μB/f.u.

Computed relative energies in units of eV/atom: model i 0.144; model ii 0.411; model iii 0.206; model iv 0.000

Model i:
# Co3I

Crystalline Co3I at its relaxed geometry (PBE-GGA, Alexandria).

```
Co3I
1.0
-3.7345 1.8046 -1.9268
-3.2224 0.2485 3.2359
4.3357 1.4553 0.0085
I Co
1 3
Direct
0.0000 0.0000 0.0000 I
0.7500 0.2500 0.5000 Co
0.5000 0.5000 0.0000 Co
0.2500 0.7500 0.5000 Co
```

M_tot: 3.78 μB/f.u.

Model ii:
# Co3I

Crystalline Co3I at its relaxed geometry (PBE-GGA, Alexandria).

```
Co3I
1.0
3.1911 -5.5271 0.0000
3.1911 5.5271 0.0000
0.0000 0.0000 3.8659
I Co
2 6
Direct
0.6667 0.3333 0.2500 I
0.3333 0.6667 0.7500 I
0.1271 0.8729 0.2500 Co
0.8729 0.7458 0.7500 Co
0.7458 0.8729 0.2500 Co
0.1271 0.2542 0.2500 Co
0.8729 0.1271 0.7500 Co
0.2542 0.1271 0.7500 Co
```

M_tot: 5.25 μB/f.u.

Computed relative energies in units of eV/atom: model i 0.092; model ii 0.000

Model i:
# InCoSb2I

Crystalline InCoSb2I at its relaxed geometry (PBE-GGA, Alexandria).

```
InCoSb2I
1.0
-4.4464 -1.9212 -0.8269
1.3167 -4.0804 2.4003
-1.9593 2.3514 5.0722
Sb In I Co
2 1 1 1
Direct
0.0000 0.5000 0.0000 Sb
0.5000 0.0000 0.0000 Sb
0.5000 0.5000 0.5000 In
0.0000 0.0000 0.5000 I
0.0000 0.0000 0.0000 Co
```

M_tot: 0.00 μB/f.u.

Model ii:
# InCoSb2I

Crystalline InCoSb2I at its relaxed geometry (PBE-GGA, Alexandria).

```
InCoSb2I
1.0
-2.1109 3.6294 3.7455
-5.0491 -2.4344 -0.4866
1.3657 -3.7038 4.3586
In Sb Co I
1 2 1 1
Direct
0.0000 0.0000 0.0000 In
0.0000 0.5000 0.0000 Sb
0.5000 0.0000 0.0000 Sb
0.5000 0.5000 0.5000 Co
0.0000 0.0000 0.5000 I
```

M_tot: 2.98 μB/f.u.

Computed relative energies in units of eV/atom: model i 0.000; model ii 0.954

Model i:
# InCoTe2I

Crystalline InCoTe2I at its relaxed geometry (PBE-GGA, Alexandria).

```
InCoTe2I
1.0
5.6936 0.0000 0.0000
0.0000 5.6936 0.0000
0.0000 0.0000 5.8356
Te I In Co
2 1 1 1
Direct
0.0000 0.5000 0.0000 Te
0.5000 0.0000 0.0000 Te
0.0000 0.0000 0.5000 I
0.0000 0.0000 0.0000 In
0.5000 0.5000 0.5000 Co
```

M_tot: 3.00 μB/f.u.

Model ii:
# InCoTe2I

Crystalline InCoTe2I at its relaxed geometry (PBE-GGA, Alexandria).

```
InCoTe2I
1.0
-3.2690 1.6664 4.4197
3.4342 -1.8821 3.2497
2.6987 5.0702 0.0845
Co In I Te
1 1 1 2
Direct
0.0000 0.5000 0.0000 Co
0.0000 0.0000 0.0000 In
0.5000 0.5000 0.5000 I
0.5000 0.0000 0.0000 Te
0.0000 0.0000 0.5000 Te
```

M_tot: 2.65 μB/f.u.

Model iii:
# InCoTe2I

Crystalline InCoTe2I at its relaxed geometry (PBE-GGA, Alexandria).

```
InCoTe2I
1.0
-4.3687 0.1783 2.5255
-2.1441 -2.9391 -3.5015
1.5722 -4.7903 3.0581
Te In I Co
2 1 1 1
Direct
0.0000 0.5000 0.0000 Te
0.5000 0.0000 0.0000 Te
0.5000 0.5000 0.5000 In
0.0000 0.0000 0.5000 I
0.0000 0.0000 0.0000 Co
```

M_tot: 2.17 μB/f.u.

Computed relative energies in units of eV/atom: model i 0.797; model ii 0.709; model iii 0.000

Model i:
# Co2IrI

Crystalline Co2IrI at its relaxed geometry (PBE-GGA, Alexandria).

```
Co2IrI
1.0
5.8931 0.0000 0.0000
0.0000 5.8931 0.0000
2.9465 2.9465 4.6844
Co I Ir
4 2 2
Direct
0.8750 0.9086 0.7500 Co
0.3750 0.3414 0.7500 Co
0.6586 0.1250 0.2500 Co
0.0914 0.6250 0.2500 Co
0.5000 0.5000 0.0000 I
0.2500 0.7500 0.5000 I
0.0000 0.0000 0.0000 Ir
0.7500 0.2500 0.5000 Ir
```

M_tot: 0.00 μB/f.u.

Model ii:
# Co2IrI

Crystalline Co2IrI at its relaxed geometry (PBE-GGA, Alexandria).

```
Co2IrI
1.0
1.7087 -1.7692 3.6353
-2.1194 -3.2388 2.0696
1.6057 -4.0839 -0.0925
Co Ir I
2 1 1
Direct
0.7500 0.7500 0.7500 Co
0.2500 0.2500 0.2500 Co
0.5000 0.5000 0.5000 Ir
0.0000 0.0000 0.0000 I
```

M_tot: 2.69 μB/f.u.

Computed relative energies in units of eV/atom: model i 0.000; model ii 0.028

Model i:
# CoIr2I

Crystalline CoIr2I at its relaxed geometry (PBE-GGA, Alexandria).

```
CoIr2I
1.0
3.8206 0.0000 0.0000
0.0000 3.8206 0.0000
1.9103 1.9103 9.2284
Ir I Co
4 2 2
Direct
0.8750 0.8476 0.7500 Ir
0.1524 0.6250 0.2500 Ir
0.3750 0.4024 0.7500 Ir
0.5976 0.1250 0.2500 Ir
0.0000 0.0000 0.0000 I
0.7500 0.2500 0.5000 I
0.5000 0.5000 0.0000 Co
0.2500 0.7500 0.5000 Co
```

M_tot: 0.00 μB/f.u.

Model ii:
# CoIr2I

Crystalline CoIr2I at its relaxed geometry (PBE-GGA, Alexandria).

```
CoIr2I
1.0
2.3865 -3.1836 -2.1093
-1.9408 -3.9125 -1.0978
-0.8475 -0.9598 -4.3174
Ir I Co
2 1 1
Direct
0.7500 0.7500 0.7500 Ir
0.2500 0.2500 0.2500 Ir
0.5000 0.5000 0.5000 I
0.0000 0.0000 0.0000 Co
```

M_tot: 2.47 μB/f.u.

Computed relative energies in units of eV/atom: model i 0.000; model ii 0.184